[1]
# Zr4Ga3Mo2N3

A relaxed Zr4Ga3Mo2N3 crystal (PBE-GGA, OQMD).

**Total energy**: -8.34 eV/atom
**Space-group type**: C2/c, No. 15

Structure (POSCAR):
```
Zr4Ga3Mo2N3
1.0
-3.7891 4.0340 -0.7018
-3.1122 0.1280 -4.6282
-6.9568 -9.0629 7.8165
Ga Mo N Zr
6 4 6 8
Direct
0.3009 0.4146 0.2487 Ga
0.8708 0.1292 0.2500 Ga
0.5854 0.6991 0.2513 Ga
0.4146 0.3009 0.7487 Ga
0.1292 0.8708 0.7500 Ga
0.6991 0.5854 0.7513 Ga
0.5276 0.3725 0.0821 Mo
0.6275 0.4724 0.4179 Mo
0.3725 0.5276 0.5821 Mo
0.4724 0.6275 0.9179 Mo
0.5000 0.0000 0.0000 N
0.8475 0.3264 0.0000 N
0.1525 0.6736 0.0000 N
0.0000 0.5000 0.5000 N
0.6736 0.1525 0.5000 N
0.3264 0.8475 0.5000 N
0.8587 0.6993 0.0944 Zr
0.2043 0.0263 0.0945 Zr
0.9737 0.7957 0.4055 Zr
0.3007 0.1413 0.4056 Zr
0.6993 0.8587 0.5944 Zr
0.0263 0.2043 0.5945 Zr
0.7957 0.9737 0.9055 Zr
0.1413 0.3007 0.9056 Zr
```

***

[2]
# Ba2ZnCdAs2F2

A relaxed Ba2ZnCdAs2F2 crystal (PBE-GGA, OQMD).

**Total energy**: -4.24 eV/atom
**Space-group type**: P-4m2, No. 115

Structure (POSCAR):
```
Ba2ZnCdAs2F2
1.0
4.3512 0.0000 0.0000
0.0000 4.3512 0.0000
0.0000 0.0000 9.5018
As Ba Cd F Zn
2 2 1 2 1
Direct
0.5000 0.0000 0.1695 As
0.0000 0.5000 0.8305 As
0.0000 0.5000 0.3392 Ba
0.5000 0.0000 0.6608 Ba
0.0000 0.0000 0.0000 Cd
0.0000 0.0000 0.5000 F
0.5000 0.5000 0.5000 F
0.5000 0.5000 0.0000 Zn
```

***

[3]
# K2Hf3ZrC2

A relaxed K2Hf3ZrC2 crystal (PBE-GGA, OQMD).

**Total energy**: -7.49 eV/atom
**Space-group type**: P3m1, No. 156

Structure (POSCAR):
```
K2Hf3ZrC2
1.0
3.3416 0.0000 0.0000
-1.6708 2.8939 0.0000
0.0000 0.0000 18.8869
C Hf K Zr
2 3 2 1
Direct
0.3333 0.6667 0.0022 C
0.3333 0.6667 0.4996 C
0.6667 0.3333 0.0650 Hf
0.6667 0.3333 0.4352 Hf
0.0000 0.0000 0.5641 Hf
0.0000 0.0000 0.2504 K
0.6667 0.3333 0.7488 K
0.0000 0.0000 0.9348 Zr
```

***

[4]
# DyErSe2F2

A relaxed DyErSe2F2 crystal (PBE-GGA, OQMD).

**Total energy**: -6.16 eV/atom
**Space-group type**: P4mm, No. 99

Structure (POSCAR):
```
DyErSe2F2
1.0
-3.0932 -2.2422 -0.2015
0.1077 -0.4893 3.7928
-4.1139 5.5999 0.8393
Dy Er F Se
1 1 2 2
Direct
0.0000 0.0000 0.2160 Dy
0.5000 0.5000 0.7837 Er
0.5000 0.0000 0.9987 F
0.0000 0.5000 0.9987 F
0.5000 0.5000 0.3608 Se
0.0000 0.0000 0.6421 Se
```